Model A:
The following is a GGA-PBE calculation of CdInS3 after structural relaxation, from the Alexandria database. Values from VASP.

Values from the calculation:
magnetic moment: 0.00 μB per formula unit
DOS at the Fermi energy: 0.616 states/eV/atom
space group: No. 162

Cell and atoms, written as Quantum ESPRESSO input:
```
&SYSTEM
  ibrav = 0, nat = 10, ntyp = 3
/
ATOMIC_SPECIES
Cd 112.41 Cd.upf
In 114.82 In.upf
S 32.06 S.upf
ATOMIC_POSITIONS crystal
Cd 0.0000 0.0000 0.7207
Cd 0.0000 0.0000 0.2793
In 0.3333 0.6667 0.5000
In 0.6667 0.3333 0.5000
S 0.0000 0.6198 0.7217
S 0.6198 0.0000 0.7217
S 0.0000 0.3802 0.2783
S 0.6198 0.6198 0.2783
S 0.3802 0.3802 0.7217
S 0.3802 0.0000 0.2783
CELL_PARAMETERS angstrom
6.4854 0.0000 0.0000
-3.2427 5.6166 0.0000
0.0000 0.0000 7.5667
```

***

Model B:
The following is a GGA-PBE calculation of CdInS3 after structural relaxation, from the Alexandria database. Values from VASP.

Values from the calculation:
magnetic moment: 0.00 μB per formula unit
DOS at the Fermi energy: 0.933 states/eV/atom
space group: No. 221

Cell and atoms, written as Quantum ESPRESSO input:
```
&SYSTEM
  ibrav = 0, nat = 5, ntyp = 3
/
ATOMIC_SPECIES
S 32.06 S.upf
Cd 112.41 Cd.upf
In 114.82 In.upf
ATOMIC_POSITIONS crystal
S 0.0000 0.5000 0.0000
S 0.0000 0.0000 0.5000
S 0.5000 0.0000 0.0000
Cd 0.5000 0.5000 0.5000
In 0.0000 0.0000 0.0000
CELL_PARAMETERS angstrom
5.0107 0.0000 0.0000
0.0000 5.0107 0.0000
0.0000 0.0000 5.0107
```

***

Relative energies, kJ/mol of atoms: model A 0.0; model B 55.1.

***

Model A:
The following is a GGA-PBE calculation of Cd2InS4 after structural relaxation, from the Alexandria database. Values from VASP.

Values from the calculation:
magnetic moment: 0.00 μB per formula unit
DOS at the Fermi energy: 0.700 states/eV/atom
space group: No. 74

Cell and atoms, written as Quantum ESPRESSO input:
```
&SYSTEM
  ibrav = 0, nat = 14, ntyp = 3
/
ATOMIC_SPECIES
Cd 112.41 Cd.upf
In 114.82 In.upf
S 32.06 S.upf
ATOMIC_POSITIONS crystal
Cd 0.1200 0.1300 0.6300
Cd 0.5000 0.0000 0.0000
Cd 0.5000 0.5000 0.5000
Cd 0.8800 0.8700 0.3700
In 0.0000 0.5000 0.0000
In 0.5000 0.5000 0.0000
S 0.2553 0.2643 0.2250
S 0.2553 0.7250 0.7643
S 0.2547 0.2617 0.7617
S 0.7218 0.2617 0.7617
S 0.2782 0.7383 0.2383
S 0.7447 0.2750 0.2357
S 0.7453 0.7383 0.2383
S 0.7447 0.7357 0.7750
CELL_PARAMETERS angstrom
7.8719 0.0000 0.0000
3.9360 6.7121 0.0378
3.9360 2.2207 6.3342
```

***

Model B:
The following is a GGA-PBE calculation of Cd2InS4 after structural relaxation, from the Alexandria database. Values from VASP.

Values from the calculation:
magnetic moment: 1.35 μB per formula unit
DOS at the Fermi energy: 0.366 states/eV/atom
space group: No. 139

Cell and atoms, written as Quantum ESPRESSO input:
```
&SYSTEM
  ibrav = 0, nat = 7, ntyp = 3
/
ATOMIC_SPECIES
S 32.06 S.upf
Cd 112.41 Cd.upf
In 114.82 In.upf
ATOMIC_POSITIONS crystal
S 0.2031 0.2031 0.5938
S 0.7969 0.7969 0.4062
S 0.0000 0.5000 0.0000
S 0.5000 0.0000 0.0000
Cd 0.3866 0.3866 0.2268
Cd 0.6134 0.6134 0.7732
In 0.0000 0.0000 0.0000
CELL_PARAMETERS angstrom
-4.6813 -1.9509 0.5012
1.2746 -1.8872 4.5592
-3.7190 3.6550 5.4009
```

***

Relative energies, kJ/mol of atoms: model A 0.0; model B 40.2.

***

Model A:
The following is a GGA-PBE calculation of Cd2InSb2 after structural relaxation, from the Alexandria database. Values from VASP.

Values from the calculation:
magnetic moment: 0.00 μB per formula unit
DOS at the Fermi energy: 0.540 states/eV/atom
space group: No. 127

Cell and atoms, written as Quantum ESPRESSO input:
```
&SYSTEM
  ibrav = 0, nat = 10, ntyp = 3
/
ATOMIC_SPECIES
Sb 121.76 Sb.upf
Cd 112.41 Cd.upf
In 114.82 In.upf
ATOMIC_POSITIONS crystal
Sb 0.3347 0.8347 0.0000
Sb 0.8347 0.6653 0.0000
Sb 0.6653 0.1653 0.0000
Sb 0.1653 0.3347 0.0000
Cd 0.1333 0.6333 0.5000
Cd 0.6333 0.8667 0.5000
Cd 0.8667 0.3667 0.5000
Cd 0.3667 0.1333 0.5000
In 0.0000 0.0000 0.0000
In 0.5000 0.5000 0.0000
CELL_PARAMETERS angstrom
-8.7080 0.2086 -1.4432
-1.4525 -2.0170 8.4722
-0.0513 3.4053 0.8019
```

***

Model B:
The following is a GGA-PBE calculation of Cd2InSb2 after structural relaxation, from the Alexandria database. Values from VASP.

Values from the calculation:
magnetic moment: 0.00 μB per formula unit
DOS at the Fermi energy: 0.488 states/eV/atom
space group: No. 139

Cell and atoms, written as Quantum ESPRESSO input:
```
&SYSTEM
  ibrav = 0, nat = 5, ntyp = 3
/
ATOMIC_SPECIES
Sb 121.76 Sb.upf
Cd 112.41 Cd.upf
In 114.82 In.upf
ATOMIC_POSITIONS crystal
Sb 0.3868 0.3868 0.2264
Sb 0.6132 0.6132 0.7736
Cd 0.7500 0.2500 0.5000
Cd 0.2500 0.7500 0.5000
In 0.0000 0.0000 0.0000
CELL_PARAMETERS angstrom
4.4733 0.0000 0.0000
0.0000 4.4733 0.0000
2.2367 2.2367 7.2590
```

***

Relative energies, kJ/mol of atoms: model A 3.1; model B 0.0.

***

Model A:
The following is a GGA-PBE calculation of Sc2CdIn after structural relaxation, from the Alexandria database. Values from VASP.

Values from the calculation:
magnetic moment: 0.00 μB per formula unit
DOS at the Fermi energy: 1.210 states/eV/atom
space group: No. 119

Cell and atoms, written as Quantum ESPRESSO input:
```
&SYSTEM
  ibrav = 0, nat = 4, ntyp = 3
/
ATOMIC_SPECIES
Cd 112.41 Cd.upf
In 114.82 In.upf
Sc 44.96 Sc.upf
ATOMIC_POSITIONS crystal
Cd 0.5000 0.5000 0.0000
In 0.7500 0.2500 0.5000
Sc 0.0000 0.0000 0.0000
Sc 0.2500 0.7500 0.5000
CELL_PARAMETERS angstrom
5.8046 0.0220 0.0000
2.5982 5.1907 0.0000
-4.2014 -2.6063 3.0412
```

***

Model B:
The following is a GGA-PBE calculation of Sc2CdIn after structural relaxation, from the Alexandria database. Values from VASP.

Values from the calculation:
magnetic moment: 0.00 μB per formula unit
DOS at the Fermi energy: 0.988 states/eV/atom
space group: No. 166

Cell and atoms, written as Quantum ESPRESSO input:
```
&SYSTEM
  ibrav = 0, nat = 4, ntyp = 3
/
ATOMIC_SPECIES
Sc 44.96 Sc.upf
Cd 112.41 Cd.upf
In 114.82 In.upf
ATOMIC_POSITIONS crystal
Sc 0.9077 0.9077 0.9077
Sc 0.0923 0.0923 0.0923
Cd 0.5000 0.5000 0.5000
In 0.0000 0.0000 0.0000
CELL_PARAMETERS angstrom
-0.2338 -7.2446 8.4070
-0.1457 -9.3883 5.9208
2.6465 -8.1179 7.0932
```

***

Model C:
The following is a GGA-PBE calculation of Sc2CdIn after structural relaxation, from the Alexandria database. Values from VASP.

Values from the calculation:
magnetic moment: 0.00 μB per formula unit
DOS at the Fermi energy: 1.131 states/eV/atom
space group: No. 225

Cell and atoms, written as Quantum ESPRESSO input:
```
&SYSTEM
  ibrav = 0, nat = 4, ntyp = 3
/
ATOMIC_SPECIES
Sc 44.96 Sc.upf
Cd 112.41 Cd.upf
In 114.82 In.upf
ATOMIC_POSITIONS crystal
Sc 0.2500 0.2500 0.2500
Sc 0.7500 0.7500 0.7500
Cd 0.0000 0.0000 0.0000
In 0.5000 0.5000 0.5000
CELL_PARAMETERS angstrom
0.0000 3.5465 3.5465
3.5465 0.0000 3.5465
3.5465 3.5465 0.0000
```

***

Model D:
The following is a GGA-PBE calculation of Sc2CdIn after structural relaxation, from the Alexandria database. Values from VASP.

Values from the calculation:
magnetic moment: 0.00 μB per formula unit
DOS at the Fermi energy: 0.607 states/eV/atom
space group: No. 12

Cell and atoms, written as Quantum ESPRESSO input:
```
&SYSTEM
  ibrav = 0, nat = 4, ntyp = 3
/
ATOMIC_SPECIES
Cd 112.41 Cd.upf
In 114.82 In.upf
Sc 44.96 Sc.upf
ATOMIC_POSITIONS crystal
Cd 0.7500 0.7500 0.7500
In 0.2500 0.2500 0.2500
Sc 0.0001 0.0001 0.0001
Sc 0.4999 0.4999 0.4999
CELL_PARAMETERS angstrom
-1.0790 -5.0687 -0.2524
2.2889 -4.6510 -0.2208
0.1273 -1.4538 5.6389
```

***

Relative energies, kJ/mol of atoms: model A 13.1; model B 42.7; model C 0.0; model D 15.2.

***

Model A:
The following is a GGA-PBE calculation of Sc2CdIn after structural relaxation, from the Alexandria database. Values from VASP.

Values from the calculation:
magnetic moment: 0.00 μB per formula unit
DOS at the Fermi energy: 1.147 states/eV/atom
space group: No. 122

Cell and atoms, written as Quantum ESPRESSO input:
```
&SYSTEM
  ibrav = 0, nat = 8, ntyp = 3
/
ATOMIC_SPECIES
Sc 44.96 Sc.upf
Cd 112.41 Cd.upf
In 114.82 In.upf
ATOMIC_POSITIONS crystal
Sc 0.6189 0.1250 0.2500
Sc 0.1311 0.6250 0.2500
Sc 0.3750 0.3811 0.7500
Sc 0.8750 0.8689 0.7500
Cd 0.5000 0.5000 0.0000
Cd 0.2500 0.7500 0.5000
In 0.0000 0.0000 0.0000
In 0.7500 0.2500 0.5000
CELL_PARAMETERS angstrom
7.8564 0.0000 0.0000
0.0000 7.8564 0.0000
3.9282 3.9282 3.2140
```

***

Model B:
The following is a GGA-PBE calculation of Sc2CdIn after structural relaxation, from the Alexandria database. Values from VASP.

Values from the calculation:
magnetic moment: 0.00 μB per formula unit
DOS at the Fermi energy: 0.831 states/eV/atom
space group: No. 166

Cell and atoms, written as Quantum ESPRESSO input:
```
&SYSTEM
  ibrav = 0, nat = 4, ntyp = 3
/
ATOMIC_SPECIES
Cd 112.41 Cd.upf
In 114.82 In.upf
Sc 44.96 Sc.upf
ATOMIC_POSITIONS crystal
Cd 0.2500 0.2500 0.2500
In 0.7500 0.7500 0.7500
Sc 0.9988 0.9988 0.9988
Sc 0.5012 0.5012 0.5012
CELL_PARAMETERS angstrom
9.8627 0.0094 0.0055
9.2846 3.3270 0.0055
9.2846 1.6178 2.9071
```

***

Relative energies, kJ/mol of atoms: model A 24.0; model B 0.0.

***

Model A:
The following is a GGA-PBE calculation of Sc2CdIn after structural relaxation, from the Alexandria database. Values from VASP.

Values from the calculation:
magnetic moment: 0.00 μB per formula unit
DOS at the Fermi energy: 0.926 states/eV/atom
space group: No. 25

Cell and atoms, written as Quantum ESPRESSO input:
```
&SYSTEM
  ibrav = 0, nat = 4, ntyp = 3
/
ATOMIC_SPECIES
Cd 112.41 Cd.upf
In 114.82 In.upf
Sc 44.96 Sc.upf
ATOMIC_POSITIONS crystal
Cd 0.0000 0.0000 0.4825
In 0.5000 0.5000 0.7690
Sc 0.0000 0.0000 0.9885
Sc 0.5000 0.5000 0.2600
CELL_PARAMETERS angstrom
3.3334 0.0000 0.0000
0.0000 4.5011 0.0000
0.0000 0.0000 6.2084
```

***

Model B:
The following is a GGA-PBE calculation of Sc2CdIn after structural relaxation, from the Alexandria database. Values from VASP.

Values from the calculation:
magnetic moment: 2.32 μB per formula unit
DOS at the Fermi energy: 1.726 states/eV/atom
space group: No. 216

Cell and atoms, written as Quantum ESPRESSO input:
```
&SYSTEM
  ibrav = 0, nat = 4, ntyp = 3
/
ATOMIC_SPECIES
Cd 112.41 Cd.upf
In 114.82 In.upf
Sc 44.96 Sc.upf
ATOMIC_POSITIONS crystal
Cd 0.5000 0.5000 0.5000
In 0.7500 0.7500 0.7500
Sc 0.0000 0.0000 0.0000
Sc 0.2500 0.2500 0.2500
CELL_PARAMETERS angstrom
5.0556 0.0000 0.0000
2.5278 4.3782 0.0000
2.5278 1.4594 4.1279
```

***

Model C:
The following is a GGA-PBE calculation of Sc2CdIn after structural relaxation, from the Alexandria database. Values from VASP.

Values from the calculation:
magnetic moment: 0.79 μB per formula unit
DOS at the Fermi energy: 0.947 states/eV/atom
space group: No. 160

Cell and atoms, written as Quantum ESPRESSO input:
```
&SYSTEM
  ibrav = 0, nat = 4, ntyp = 3
/
ATOMIC_SPECIES
Cd 112.41 Cd.upf
In 114.82 In.upf
Sc 44.96 Sc.upf
ATOMIC_POSITIONS crystal
Cd 0.5006 0.5006 0.5006
In 0.7503 0.7503 0.7503
Sc 0.9997 0.9997 0.9997
Sc 0.2494 0.2494 0.2494
CELL_PARAMETERS angstrom
-7.9526 -6.4148 -1.5292
-7.8901 -6.4304 1.7688
-9.5048 -4.0453 0.1611
```

***

Relative energies, kJ/mol of atoms: model A 0.0; model B 16.4; model C 8.6.